{"formula": "Ni6Mo6C", "functional": "PBE", "state": "relaxed", "total_energy_ev_per_atom": -8.38, "m_tot_mub_per_cell": 0.006, "rho_g_cm3": 9.597, "lattice": [[0.0000, 5.4581, 5.4581], [5.4581, 0.0000, 5.4581], [5.4581, 5.4581, 0.0000]], "species": ["Ni", "Ni", "Ni", "Ni", "Ni", "Ni", "Ni", "Ni", "Ni", "Ni", "Ni", "Ni", "Mo", "Mo", "Mo", "Mo", "Mo", "Mo", "Mo", "Mo", "Mo", "Mo", "Mo", "Mo", "C", "C"], "fractional_positions": [[0.0000, 0.0000, 0.0000], [0.0000, 0.0000, 0.5000], [0.0000, 0.5000, 0.0000], [0.1257, 0.7914, 0.7914], [0.2086, 0.2086, 0.2086], [0.2086, 0.2086, 0.8743], [0.2086, 0.8743, 0.2086], [0.5000, 0.0000, 0.0000], [0.7914, 0.1257, 0.7914], [0.7914, 0.7914, 0.1257], [0.7914, 0.7914, 0.7914], [0.8743, 0.2086, 0.2086], [0.1772, 0.1772, 0.5728], [0.1772, 0.5728, 0.1772], [0.1772, 0.5728, 0.5728], [0.4272, 0.4272, 0.8228], [0.4272, 0.8228, 0.4272], [0.4272, 0.8228, 0.8228], [0.5728, 0.1772, 0.1772], [0.5728, 0.1772, 0.5728], [0.5728, 0.5728, 0.1772], [0.8228, 0.4272, 0.4272], [0.8228, 0.4272, 0.8228], [0.8228, 0.8228, 0.4272], [0.3750, 0.3750, 0.3750], [0.6250, 0.6250, 0.6250]]}

=====

{"formula": "Ni2Mo4C", "functional": "PBE", "state": "relaxed", "total_energy_ev_per_atom": -9.20, "m_tot_mub_per_cell": 0.007, "rho_g_cm3": 9.412, "lattice": [[0.0000, 5.6575, 5.6575], [5.6575, 0.0000, 5.6575], [5.6575, 5.6575, 0.0000]], "species": ["Ni", "Ni", "Ni", "Ni", "Ni", "Ni", "Ni", "Ni", "Mo", "Mo", "Mo", "Mo", "Mo", "Mo", "Mo", "Mo", "Mo", "Mo", "Mo", "Mo", "Mo", "Mo", "Mo", "Mo", "C", "C", "C", "C"], "fractional_positions": [[0.1229, 0.7924, 0.7924], [0.2076, 0.2076, 0.2076], [0.2076, 0.2076, 0.8771], [0.2076, 0.8771, 0.2076], [0.7924, 0.1229, 0.7924], [0.7924, 0.7924, 0.1229], [0.7924, 0.7924, 0.7924], [0.8771, 0.2076, 0.2076], [0.0000, 0.0000, 0.0000], [0.0000, 0.0000, 0.5000], [0.0000, 0.5000, 0.0000], [0.1853, 0.1853, 0.5647], [0.1853, 0.5647, 0.1853], [0.1853, 0.5647, 0.5647], [0.4353, 0.4353, 0.8147], [0.4353, 0.8147, 0.4353], [0.4353, 0.8147, 0.8147], [0.5000, 0.0000, 0.0000], [0.5647, 0.1853, 0.1853], [0.5647, 0.1853, 0.5647], [0.5647, 0.5647, 0.1853], [0.8147, 0.4353, 0.4353], [0.8147, 0.4353, 0.8147], [0.8147, 0.8147, 0.4353], [0.0000, 0.5000, 0.5000], [0.5000, 0.0000, 0.5000], [0.5000, 0.5000, 0.0000], [0.5000, 0.5000, 0.5000]]}

=====

{"formula": "NiMo4PbC2", "functional": "PBE", "state": "relaxed", "total_energy_ev_per_atom": -8.70, "m_tot_mub_per_cell": 0.002, "rho_g_cm3": 9.857, "lattice": [[3.1456, 0.0000, 0.0000], [-1.5728, 2.7242, 0.0000], [0.0000, 0.0000, 13.2435]], "species": ["Ni", "Mo", "Mo", "Mo", "Mo", "Pb", "C", "C"], "fractional_positions": [[0.0000, 0.0000, 0.0000], [0.0000, 0.0000, 0.3119], [0.0000, 0.0000, 0.6881], [0.6667, 0.3333, 0.1439], [0.6667, 0.3333, 0.8561], [0.6667, 0.3333, 0.5000], [0.3333, 0.6667, 0.2305], [0.3333, 0.6667, 0.7695]]}

=====

{"formula": "NiMo4C2S", "functional": "PBE", "state": "relaxed", "total_energy_ev_per_atom": -8.92, "m_tot_mub_per_cell": 0.003, "rho_g_cm3": 8.101, "lattice": [[3.1134, 0.0000, 0.0000], [-1.5567, 2.6962, 0.0000], [0.0000, 0.0000, 12.1737]], "species": ["Ni", "Mo", "Mo", "Mo", "Mo", "C", "C", "S"], "fractional_positions": [[0.0000, 0.0000, 0.0000], [0.0000, 0.0000, 0.3450], [0.0000, 0.0000, 0.6550], [0.3333, 0.6667, 0.1602], [0.3333, 0.6667, 0.8398], [0.6667, 0.3333, 0.2499], [0.6667, 0.3333, 0.7501], [0.3333, 0.6667, 0.5000]]}